The following is a PBE calculation of a relaxed structure of NaAgTe, from the Alexandria database.

The calculation puts the total moment at 0.00 Bohr magnetons per cell. The calculation puts the uncorrected formation energy at -0.544 eV per atom. As for the density of states at the Fermi level: 0.00 states/eV/atom. As for the space group: P4/nmm, No. 129. For the calculated density, the calculation gives 5.47 g cm⁻³.

Lattice parameters (Å, degrees): 4.5746 4.5722 7.4974 89.98 89.98 89.96
Closest atoms and distances in Å follow each position.
Fractional positions:
1 Ag 0.9296 0.3941 0.9480  4 Te 2.94, 4 Ag 3.23-3.24
2 Ag 0.4303 0.8944 0.9480  4 Te 2.94, 4 Ag 3.23-3.24
3 Na 0.9292 0.8944 0.2744  5 Te 3.20-3.29, 4 Ag 3.35
4 Na 0.4300 0.3947 0.6218  5 Te 3.20-3.29, 4 Ag 3.35
5 Te 0.4293 0.3944 0.1943  4 Ag 2.94, 5 Na 3.20-3.29
6 Te 0.9302 0.8945 0.7017  4 Ag 2.94, 4 Na 3.20-3.29

=====

The following is a PBE calculation of a relaxed structure of Na3AgTe, from the Alexandria database.

The calculation puts the total moment at 0.00 Bohr magnetons per cell. The calculation puts the uncorrected formation energy at -0.193 eV per atom. For the energy above the most stable polymorph in this dataset, the calculation gives 0.106 eV/atom. As for the density of states at the Fermi level: 0.00 states/eV/atom. As for the space group: Pm-3m, No. 221. For the calculated density, the calculation gives 3.11 g cm⁻³.

Lattice parameters (Å, degrees): 5.4551 5.4551 5.4551 90.00 90.00 90.00
Closest atoms and distances in Å follow each position.
Fractional positions:
1 Ag 0.0000 0.0000 0.0000  6 Na 2.73
2 Na 0.0000 0.5000 0.0000  2 Ag 2.73
3 Na 0.0000 0.0000 0.5000  2 Ag 2.73
4 Na 0.5000 0.0000 0.0000  2 Ag 2.73
5 Te 0.5000 0.5000 0.5000  12 Na 3.86

=====

The following is a PBE calculation of a relaxed structure of NaThAg2Te4, from the Alexandria database.

The calculation puts the total moment at 0.00 Bohr magnetons per cell. The calculation puts the uncorrected formation energy at -0.492 eV per atom. As for the density of states at the Fermi level: 0.49 states/eV/atom. As for the space group: I222, No. 23. For the calculated density, the calculation gives 6.59 g cm⁻³.

Lattice parameters (Å, degrees): 7.8557 6.8661 6.8661 65.57 55.11 55.11
Closest atoms and distances in Å follow each position.
Fractional positions:
1 Ag 0.1702 0.3298 0.3298  4 Te 2.76-2.95, 1 Ag 2.88
2 Ag 0.8298 0.6702 0.6702  4 Te 2.76-2.95, 1 Ag 2.88
3 Th 0.0000 0.0000 0.0000  4 Te 3.09
4 Te 0.5695 0.4204 0.9301  2 Ag 2.76-2.95, 1 Na 3.08, 1 Th 3.09
5 Te 0.9200 0.5796 0.0699  2 Ag 2.76-2.95, 1 Na 3.08, 1 Th 3.09
6 Te 0.4305 0.0699 0.5796  2 Ag 2.76-2.95, 1 Na 3.08, 1 Th 3.09
7 Te 0.0800 0.9301 0.4204  2 Ag 2.76-2.95, 1 Na 3.08, 1 Th 3.09
8 Na 0.5000 0.5000 0.5000  4 Te 3.08

=====

The following is a PBE calculation of a relaxed structure of Na4Th3AgTe8, from the Alexandria database.

The calculation puts the total moment at 0.00 Bohr magnetons per cell. The calculation puts the uncorrected formation energy at -0.996 eV per atom. As for the density of states at the Fermi level: 0.39 states/eV/atom. As for the space group: R-3m, No. 166. For the calculated density, the calculation gives 6.04 g cm⁻³.

Lattice parameters (Å, degrees): 8.9584 9.1723 8.9633 119.28 119.98 90.00
Closest atoms and distances in Å follow each position.
Fractional positions:
1 Te 0.2516 0.2547 0.5032  3 Th 3.18, 3 Na 3.23
2 Te 0.7552 0.2648 0.5104  1 Ag 3.14, 2 Th 3.14, 3 Na 3.27-3.28
3 Te 0.7461 0.7348 0.9904  1 Ag 3.13, 2 Th 3.14, 3 Na 3.27-3.28
4 Te 0.7484 0.7453 0.4968  3 Th 3.18, 3 Na 3.23
5 Te 0.7557 0.2652 0.0096  1 Ag 3.13, 2 Th 3.14, 3 Na 3.27-3.28
6 Te 0.2539 0.2652 0.0096  1 Ag 3.13, 2 Th 3.14, 3 Na 3.27-3.28
7 Te 0.2443 0.7348 0.9904  1 Ag 3.13, 2 Th 3.14, 3 Na 3.27-3.28
8 Te 0.2448 0.7352 0.4896  1 Ag 3.14, 2 Th 3.14, 3 Na 3.27-3.28
9 Na 0.0000 0.0000 0.0000  6 Te 3.23-3.27
10 Na 0.0000 0.0000 0.5000  6 Te 3.23-3.27
11 Na 0.5000 0.0000 0.0000  6 Te 3.28
12 Na 0.5000 0.0000 0.5000  6 Te 3.23-3.27
13 Ag 0.0000 0.5000 0.0000  6 Te 3.13-3.14
14 Th 0.0000 0.5000 0.5000  6 Te 3.14-3.18
15 Th 0.5000 0.5000 0.5000  6 Te 3.14-3.18
16 Th 0.5000 0.5000 0.0000  6 Te 3.14-3.18

=====

The following is a PBE calculation of a relaxed structure of Na3Th2AgTe6, from the Alexandria database.

The calculation puts the total moment at 0.00 Bohr magnetons per cell. The calculation puts the uncorrected formation energy at -0.982 eV per atom. As for the space group: C2/m, No. 12. For the calculated density, the calculation gives 5.89 g cm⁻³.

Lattice parameters (Å, degrees): 7.7965 7.7965 7.9675 99.48 99.48 119.89
Closest atoms and distances in Å follow each position.
Fractional positions:
1 Na 0.5000 0.5000 0.5000  6 Te 3.24-3.28
2 Na 0.1663 0.8337 0.5000  6 Te 3.27-3.29
3 Na 0.8337 0.1663 0.5000  6 Te 3.27-3.29
4 Te 0.7418 0.7418 0.2378  2 Th 3.14, 1 Ag 3.19, 3 Na 3.24-3.27
5 Te 0.0785 0.4136 0.2347  2 Th 3.14, 1 Ag 3.15, 3 Na 3.27-3.29
6 Te 0.9215 0.5864 0.7653  2 Th 3.14, 1 Ag 3.15, 3 Na 3.27-3.29
7 Te 0.5864 0.9215 0.7653  2 Th 3.14, 1 Ag 3.15, 3 Na 3.27-3.29
8 Te 0.4136 0.0785 0.2347  2 Th 3.14, 1 Ag 3.15, 3 Na 3.27-3.29
9 Te 0.2582 0.2582 0.7622  2 Th 3.14, 1 Ag 3.19, 3 Na 3.24-3.27
10 Th 0.6666 0.3334 0.0000  6 Te 3.14
11 Th 0.3334 0.6666 0.0000  6 Te 3.14
12 Ag 0.0000 0.0000 0.0000  6 Te 3.15-3.19

=====

The following is a PBE calculation of a relaxed structure of NaTh2Ag3Te6, from the Alexandria database.

The calculation puts the total moment at 0.00 Bohr magnetons per cell. The calculation puts the uncorrected formation energy at -0.685 eV per atom. As for the space group: C2/m, No. 12. For the calculated density, the calculation gives 6.89 g cm⁻³.

Lattice parameters (Å, degrees): 4.5495 9.3893 9.3388 100.66 104.10 90.00
Closest atoms and distances in Å follow each position.
Fractional positions:
1 Te 0.6666 0.5709 0.3332  1 Ag 2.96, 3 Th 3.14-3.20
2 Te 0.9856 0.2559 0.9712  1 Ag 2.78, 1 Th 3.00
3 Te 0.6917 0.1241 0.3834  3 Ag 2.86-3.05, 2 Th 3.19
4 Te 0.0144 0.7441 0.0288  1 Ag 2.78, 1 Th 3.00
5 Te 0.3083 0.8759 0.6166  3 Ag 2.86-3.05, 2 Th 3.19
6 Te 0.3334 0.4291 0.6668  1 Ag 2.96, 3 Th 3.14-3.20
7 Th 0.8459 0.6630 0.6919  6 Te 3.00-3.20
8 Th 0.1541 0.3370 0.3081  6 Te 3.00-3.20
9 Ag 0.8502 0.0584 0.7003  4 Te 2.78-3.05
10 Ag 0.1498 0.9416 0.2997  4 Te 2.78-3.05
11 Ag 0.5000 0.5000 0.0000  6 Te 2.96-3.20
12 Na 0.5000 0.0000 0.0000  6 Te 3.35-3.45, 4 Ag 3.66

=====

The following is a PBE calculation of a relaxed structure of Na2ThAgTe4, from the Alexandria database.

The calculation puts the total moment at 0.00 Bohr magnetons per cell. The calculation puts the uncorrected formation energy at -0.733 eV per atom. As for the density of states at the Fermi level: 0.42 states/eV/atom. As for the space group: Cmcm, No. 63. For the calculated density, the calculation gives 5.96 g cm⁻³.

Lattice parameters (Å, degrees): 4.2318 7.6468 16.0511 90.00 90.00 106.06
Closest atoms and distances in Å follow each position.
Fractional positions:
1 Te 0.4452 0.8905 0.7500  2 Ag 2.83, 2 Na 3.14, 2 Th 3.15
2 Te 0.0000 0.0000 0.5000  4 Na 3.17
3 Te 0.3136 0.6272 0.3773  1 Ag 2.80
4 Te 0.5548 0.1095 0.2500  2 Ag 2.83, 2 Na 3.14, 2 Th 3.15
5 Te 0.0000 0.0000 0.0000  4 Na 3.17
6 Te 0.3136 0.6272 0.1227  1 Ag 2.80
7 Te 0.6864 0.3728 0.8773  1 Ag 2.80
8 Te 0.6864 0.3728 0.6227  1 Ag 2.80
9 Na 0.3594 0.7189 0.5711  6 Te 3.14-3.41
10 Na 0.6406 0.2811 0.0711  6 Te 3.14-3.41
11 Na 0.3594 0.7189 0.9289  6 Te 3.14-3.41
12 Na 0.6406 0.2811 0.4289  6 Te 3.14-3.41
13 Ag 0.8170 0.6340 0.7500  4 Te 2.80-2.83
14 Ag 0.1830 0.3660 0.2500  4 Te 2.80-2.83
15 Th 0.8964 0.7929 0.2500  6 Te 3.15-3.18
16 Th 0.1036 0.2071 0.7500  6 Te 3.15-3.18

=====

The following is a PBE calculation of a relaxed structure of NaTiAg2Te, from the Alexandria database.

The calculation puts the total moment at 0.71 Bohr magnetons per cell. The calculation puts the uncorrected formation energy at 0.176 eV per atom. As for the density of states at the Fermi level: 0.50 states/eV/atom. As for the space group: P4/mmm, No. 123. For the calculated density, the calculation gives 4.79 g cm⁻³.

Lattice parameters (Å, degrees): 5.2558 5.2019 5.2558 90.00 90.00 90.00
Closest atoms and distances in Å follow each position.
Fractional positions:
1 Ag 0.0000 0.0000 0.5000  2 Ti 2.63
2 Ag 0.5000 0.0000 0.0000  2 Ti 2.63
3 Na 0.5000 0.5000 0.5000  8 Ag 3.70, 4 Te 3.72
4 Te 0.0000 0.5000 0.0000  2 Ti 2.60
5 Ti 0.0000 0.0000 0.0000  2 Te 2.60, 4 Ag 2.63

=====

The following is a PBE calculation of a relaxed structure of NaTlAg2Te2, from the Alexandria database.

The calculation puts the total moment at 0.00 Bohr magnetons per cell. The calculation puts the uncorrected formation energy at -0.366 eV per atom. As for the density of states at the Fermi level: 0.01 states/eV/atom. As for the space group: P-3m1, No. 164. For the calculated density, the calculation gives 6.66 g cm⁻³.

Lattice parameters (Å, degrees): 4.8029 4.8029 8.7190 90.00 90.00 120.00
Closest atoms and distances in Å follow each position.
Fractional positions:
1 Ag 0.3333 0.6667 0.7231  3 Te 2.77
2 Ag 0.6667 0.3333 0.2769  3 Te 2.77
3 Te 0.6667 0.3333 0.7320  3 Ag 2.77
4 Te 0.3333 0.6667 0.2680  3 Ag 2.77
5 Tl 0.0000 0.0000 0.0000  6 Te 3.63, 6 Ag 3.68
6 Na 0.0000 0.0000 0.5000  6 Ag 3.39, 6 Te 3.43

=====

The following is a PBE calculation of a relaxed structure of NaTm3Ag2Te6, from the Alexandria database.

The calculation puts the total moment at 0.00 Bohr magnetons per cell. The calculation puts the uncorrected formation energy at -0.964 eV per atom. As for the space group: C2/m, No. 12. For the calculated density, the calculation gives 7.06 g cm⁻³.

Lattice parameters (Å, degrees): 4.3615 8.7604 9.8287 103.56 102.82 90.00
Closest atoms and distances in Å follow each position.
Fractional positions:
1 Ag 0.1649 0.3244 0.3297  6 Te 3.07-3.14
2 Ag 0.8351 0.6756 0.6703  6 Te 3.07-3.14
3 Tm 0.1671 0.8281 0.3342  6 Te 3.03-3.09
4 Tm 0.8329 0.1719 0.6658  6 Te 3.03-3.09
5 Tm 0.5000 0.5000 0.0000  6 Te 3.04-3.09
6 Na 0.5000 0.0000 0.0000  6 Te 3.15-3.16
7 Te 0.3302 0.9200 0.6604  3 Tm 3.03-3.09, 2 Ag 3.07, 1 Na 3.16
8 Te 0.6663 0.5798 0.3326  3 Tm 3.08-3.09, 3 Ag 3.12-3.14
9 Te 0.0020 0.7422 0.0039  3 Tm 3.04-3.07, 1 Ag 3.11, 2 Na 3.15
10 Te 0.3337 0.4202 0.6674  3 Tm 3.08-3.09, 3 Ag 3.12-3.14
11 Te 0.6698 0.0800 0.3396  3 Tm 3.03-3.09, 2 Ag 3.07, 1 Na 3.16
12 Te 0.9980 0.2578 0.9961  3 Tm 3.04-3.07, 1 Ag 3.11, 2 Na 3.15

=====

The following is a PBE calculation of a relaxed structure of Na3U2AgTe6, from the Alexandria database.

The calculation puts the total moment at 4.00 Bohr magnetons per cell. The calculation puts the uncorrected formation energy at -0.694 eV per atom. As for the density of states at the Fermi level: 0.93 states/eV/atom. As for the space group: C2/m, No. 12. For the calculated density, the calculation gives 6.20 g cm⁻³.

Lattice parameters (Å, degrees): 7.6444 7.6444 7.9266 99.25 99.25 119.95
Closest atoms and distances in Å follow each position.
Fractional positions:
1 U 0.6671 0.3329 0.0000  6 Te 3.06-3.07
2 U 0.3329 0.6671 0.0000  6 Te 3.06-3.07
3 Te 0.9229 0.5841 0.7693  2 U 3.06, 1 Ag 3.12, 3 Na 3.24-3.27
4 Te 0.0771 0.4159 0.2307  2 U 3.06, 1 Ag 3.12, 3 Na 3.24-3.27
5 Te 0.2622 0.2622 0.7693  2 U 3.07, 1 Ag 3.12, 3 Na 3.22-3.25
6 Te 0.5841 0.9229 0.7693  2 U 3.06, 1 Ag 3.12, 3 Na 3.24-3.27
7 Te 0.4159 0.0771 0.2307  2 U 3.06, 1 Ag 3.12, 3 Na 3.24-3.27
8 Te 0.7378 0.7378 0.2307  2 U 3.07, 1 Ag 3.12, 3 Na 3.22-3.25
9 Ag 0.0000 0.0000 0.0000  6 Te 3.12
10 Na 0.5000 0.5000 0.5000  6 Te 3.22-3.27
11 Na 0.1639 0.8361 0.5000  6 Te 3.24-3.27
12 Na 0.8361 0.1639 0.5000  6 Te 3.24-3.27